(1)
VASP calculation (PBE-GGA) on an optimized crystal structure of Tb2PmDy8.

DFT formation energy: 11 kJ per mole of atoms
E above lowest polymorph: 0.0 meV per atom

Cell: 5.5116 8.1200 9.3478 Å, 115.73 107.15 90.00°
Element x y z (fractional)
Dy 0.6388 0.4323 0.2777
Dy 0.1624 0.1626 0.3249
Dy 0.0000 0.7052 0.0001
Dy 0.0000 0.2948 0.9999
Tb 0.1999 0.6998 0.3998
Dy 0.3612 0.5677 0.7223
Pm 0.5000 0.0000 0.0000
Dy 0.3610 0.1544 0.7221
Dy 0.6390 0.8456 0.2779
Tb 0.8001 0.3002 0.6002
Dy 0.8376 0.8374 0.6751

***

(2)
VASP calculation (PBE-GGA) on an optimized crystal structure of SrTa2Te.

ΔE_f (raw): 53.1 kJ per mole of atoms
E above lowest polymorph: 423.5 meV per atom

Cell: 5.5755 3.3438 5.2344 Å, 88.52 90.00 90.00°
Element x y z (fractional)
Sr 0.5000 0.7500 0.7500
Ta 0.0000 0.1390 0.9923
Te 0.5000 0.2500 0.2500
Ta 0.0000 0.3610 0.5077

***

(3)
VASP calculation (PBE-GGA) on an optimized crystal structure of CaMgI2N.

ΔE_f (raw): -27.6 kJ per mole of atoms
E above lowest polymorph: 0.0 meV per atom

Cell: 5.8529 5.8529 4.0266 Å, 90.00 90.00 90.00°
Element x y z (fractional)
Ca 0.5000 0.5000 0.5000
N 0.0000 0.0000 0.5000
I 0.5000 0.0000 0.0000
Mg 0.0000 0.0000 0.0000
I 0.0000 0.5000 0.0000

***

(4)
VASP calculation (PBE-GGA) on an optimized crystal structure of CsRb3In.

DFT formation energy: 52 kJ per mole of atoms
E above lowest polymorph: 549.9 meV per atom

Cell: 8.0258 8.0258 8.0258 Å, 90.00 90.00 90.00°
Element x y z (fractional)
Rb 0.0000 0.5000 0.0000
Rb 0.0000 0.0000 0.5000
In 0.5000 0.5000 0.5000
Cs 0.0000 0.0000 0.0000
Rb 0.5000 0.0000 0.0000

***

(5)
VASP calculation (PBE-GGA) on an optimized crystal structure of Cs2CaIr.

DFT formation energy: 92 kJ per mole of atoms
E above lowest polymorph: 0.0 meV per atom

Cell: 5.8070 5.8070 5.8070 Å, 60.00 60.00 60.00°
Element x y z (fractional)
Ir 0.5000 0.5000 0.5000
Cs 0.2500 0.2500 0.2500
Ca 0.0000 0.0000 0.0000
Cs 0.7500 0.7500 0.7500

***

(6)
VASP calculation (PBE-GGA) on an optimized crystal structure of AcSm2AsO8.

ΔE_f (raw): -234.0 kJ per mole of atoms

Cell: 4.4248 5.5469 7.2182 Å, 82.89 86.09 83.92°
Element x y z (fractional)
O 0.4381 0.2663 0.4911
Ac 0.0000 0.0000 0.5000
O 0.6114 0.8964 0.9809
Sm 0.5706 0.5551 0.2507
As 0.0000 0.0000 0.0000
O 0.1166 0.7837 0.8319
O 0.0686 0.7478 0.2023
O 0.3886 0.1036 0.0191
O 0.5619 0.7337 0.5089
O 0.9314 0.2522 0.7977
O 0.8834 0.2163 0.1681
Sm 0.4294 0.4449 0.7493

***

(7)
VASP calculation (PBE-GGA) on an optimized crystal structure of Ac2Cd2N.

ΔE_f (raw): -50.5 kJ per mole of atoms

Cell: 4.2330 4.2330 17.2334 Å, 97.05 97.05 90.00°
Element x y z (fractional)
N 0.7500 0.2500 0.5000
Cd 0.8475 0.8475 0.6950
Cd 0.4025 0.9025 0.8050
Ac 0.5394 0.0394 0.0788
Ac 0.7106 0.7106 0.4212
Ac 0.2894 0.2894 0.5788
Cd 0.0975 0.5975 0.1950
Cd 0.1525 0.1525 0.3050
Ac 0.9606 0.4606 0.9212
N 0.5000 0.5000 0.0000

***

(8)
VASP calculation (PBE-GGA) on an optimized crystal structure of BeTlCd2.

DFT formation energy: 46 kJ per mole of atoms
E above lowest polymorph: 183.3 meV per atom

Cell: 5.1137 5.1137 3.6288 Å, 90.00 90.00 114.59°
Element x y z (fractional)
Be 0.0000 0.5000 0.5000
Tl 0.5000 0.0000 0.5000
Cd 0.0000 0.0000 0.0000
Cd 0.5000 0.5000 0.0000

***

(9)
VASP calculation (PBE-GGA) on an optimized crystal structure of Sm2AlCu6.

DFT formation energy: -20 kJ per mole of atoms

Cell: 5.5602 5.5602 5.6656 Å, 90.00 90.00 120.00°
Element x y z (fractional)
Cu 0.8205 0.1795 0.3404
Sm 0.3333 0.6667 0.1565
Cu 0.6410 0.8205 0.6596
Sm 0.6667 0.3333 0.8435
Cu 0.1795 0.8205 0.6596
Cu 0.3590 0.1795 0.3404
Al 0.0000 0.0000 0.0000
Cu 0.8205 0.6410 0.3404
Cu 0.1795 0.3590 0.6596

***

(10)
VASP calculation (PBE-GGA) on an optimized crystal structure of Mn2Cd2Bi.

DFT formation energy: 36 kJ per mole of atoms
E above lowest polymorph: 0.0 meV per atom

Cell: 7.8603 7.8603 3.3795 Å, 90.00 90.00 90.00°
Element x y z (fractional)
Bi 0.0000 0.0000 0.0000
Cd 0.3340 0.1660 0.5000
Cd 0.1660 0.6660 0.5000
Cd 0.6660 0.8340 0.5000
Mn 0.6271 0.1271 0.0000
Mn 0.1271 0.3729 0.0000
Bi 0.5000 0.5000 0.0000
Cd 0.8340 0.3340 0.5000
Mn 0.8729 0.6271 0.0000
Mn 0.3729 0.8729 0.0000

***

(11)
VASP calculation (PBE-GGA) on an optimized crystal structure of Dy2MnBe3Pt4.

DFT formation energy: -80 kJ per mole of atoms

Cell: 3.9800 3.9800 10.1723 Å, 90.00 90.00 90.00°
Element x y z (fractional)
Pt 0.0000 0.5000 0.3471
Pt 0.0000 0.0000 0.0000
Mn 0.5000 0.5000 0.5000
Pt 0.5000 0.0000 0.6529
Pt 0.5000 0.5000 0.0000
Dy 0.0000 0.5000 0.7592
Be 0.0000 0.5000 0.1184
Dy 0.5000 0.0000 0.2408
Be 0.0000 0.0000 0.5000
Be 0.5000 0.0000 0.8816

***

Raw total energy, respectively: -4.508; -6.581; -3.291; -0.757; -2.192; -7.248; -4.198; -1.509; -4.406; -4.436; -6.204 eV per atom.